# 1
11
Lattice="4.1284 0.0000 0.0000 0.0000 8.6804 0.9884 -2.0642 -1.3372 12.4229" Properties=species:S:1:pos:R:3 comment="Nd4Pt2I5 | Alexandria via LeMat-Bulk | PBE | optimized geometry" e_above_lowest_polymorph_ev_per_atom=0.000 sg="No. 12" n_ef_per_ev_atom=0.740 pbc="T T T"
I 0.0000 2.1051 5.5803
I 0.0000 6.7321 4.3726
I 2.0642 5.2381 7.8310
I 2.0642 0.6110 9.0387
I 2.0642 0.0000 0.0000
Nd 2.0642 4.2824 4.5062
Nd 2.0642 1.3393 12.3389
Nd 0.0000 3.0608 8.9051
Nd 0.0000 6.0039 1.0724
Pt 0.0000 3.3552 11.6025
Pt 2.0642 3.9880 1.8088

***

# 2
8
Lattice="4.1476 -0.0037 -0.0181 0.0037 4.1481 0.0081 -0.0237 -0.0287 15.3334" Properties=species:S:1:pos:R:3 comment="Nd2PtI | Alexandria via LeMat-Bulk | PBE | optimized geometry" e_above_lowest_polymorph_ev_per_atom=0.144 sg="No. 11" n_ef_per_ev_atom=0.898 pbc="T T T"
Pt 0.8536 4.0728 3.2895
Pt 2.8847 2.0037 0.0172
Nd 2.9242 1.9975 3.0281
Nd 0.8142 4.0791 0.2788
Nd 2.9066 1.9779 12.5317
Nd 0.8136 4.0657 6.1091
I 2.8904 1.9868 7.6220
I 0.8306 4.0568 11.0186

***

# 3
12
Lattice="-2.5917 -3.5898 -0.1740 5.8569 -7.1114 3.0610 -2.1805 -1.6966 11.0587" Properties=species:S:1:pos:R:3 comment="Nd2PtI3 | Alexandria via LeMat-Bulk | PBE | optimized geometry" sg="No. 12" n_ef_per_ev_atom=0.498 pbc="T T T"
Nd 2.5017 -7.6192 7.0931
Nd -1.4169 -4.7785 6.8525
Nd 2.2196 -4.5214 3.8024
Nd -1.1348 -7.8764 10.1433
I -0.9983 -2.4503 9.0016
I 1.5754 -9.7929 9.3147
I 2.0831 -9.9475 4.9440
I -0.4907 -2.6049 4.6310
I 0.9064 -3.4387 1.0263
I 0.1784 -8.9590 12.9194
Pt 0.4255 -6.1842 8.4115
Pt 0.6593 -6.2135 5.5341

***

# 4
4
Lattice="-0.1018 -3.7664 -2.0170 1.5302 -3.4962 1.9235 -6.8945 -3.9111 3.1238" Properties=species:S:1:pos:R:3 comment="Nd2PtI | Alexandria via LeMat-Bulk | PBE | optimized geometry" e_above_lowest_polymorph_ev_per_atom=0.012 sg="No. 160" n_ef_per_ev_atom=0.759 pbc="T T T"
Nd -0.8774 -2.6946 0.5482
Nd -5.5178 -3.6328 2.5345
Pt -5.9339 -8.7512 3.0579
I -2.7646 -5.5932 1.5286

***

# 5
4
Lattice="3.6463 0.0000 0.0000 0.0000 3.6463 0.0000 0.0000 0.0000 8.4375" Properties=species:S:1:pos:R:3 comment="Nd2PtI | Alexandria via LeMat-Bulk | PBE | optimized geometry" e_above_lowest_polymorph_ev_per_atom=0.228 sg="No. 123" n_ef_per_ev_atom=0.919 pbc="T T T"
I 1.8231 1.8231 4.2187
Pt 1.8231 1.8231 0.0000
Nd 0.0000 0.0000 6.7013
Nd 0.0000 0.0000 1.7361

***

# 6
12
Lattice="-2.8605 -2.4717 6.3155 -0.5392 -4.0537 -6.1200 8.1706 -1.4367 1.7080" Properties=species:S:1:pos:R:3 comment="Nd6Pt2RhI3 | Alexandria via LeMat-Bulk | PBE | optimized geometry" sg="No. 12" n_ef_per_ev_atom=0.632 pbc="T T T"
I 2.3855 -3.9810 0.9517
I 3.1589 -4.5081 -3.1918
I 1.6120 -3.4539 5.0952
Rh 0.0000 0.0000 0.0000
Nd 4.3997 -6.4816 -0.4932
Nd 5.7475 -2.8990 1.4417
Nd 1.1311 -1.9983 -1.6737
Nd -0.9766 -5.0631 0.4618
Nd 3.6399 -5.9638 3.5771
Nd 0.3713 -1.4805 2.3966
Pt -2.0867 -2.9990 2.1701
Pt -1.3130 -3.5263 -1.9746

***

# 7
8
Lattice="4.2328 0.0000 0.0000 0.0000 7.3411 0.1223 0.0000 -2.5899 8.0755" Properties=species:S:1:pos:R:3 comment="Nd4PtRhI2 | Alexandria via LeMat-Bulk | PBE | optimized geometry" sg="No. 10" n_ef_per_ev_atom=0.571 pbc="T T T"
Nd 0.0000 4.8408 1.5835
Nd 2.1164 3.5122 6.6707
Nd 2.1164 1.2390 1.5271
Nd 0.0000 -0.0897 6.6143
I 0.0000 2.3756 4.0989
I 2.1164 -1.2950 4.0378
Rh 2.1164 3.6705 0.0611
Pt 0.0000 0.0000 0.0000

***

# 8
16
Lattice="-1.4654 7.1028 -4.4507 1.9486 -4.6385 -8.0440 -6.1226 -3.2779 4.9189" Properties=species:S:1:pos:R:3 comment="Nd8Pt3RhI4 | Alexandria via LeMat-Bulk | PBE | optimized geometry" sg="No. 12" n_ef_per_ev_atom=0.655 pbc="T T T"
Nd -1.7683 -3.0599 -4.3010
Nd -4.8740 -4.7231 -1.8048
Nd -2.5333 0.4938 -6.5121
Nd -5.6176 -1.1186 -4.0635
Nd -3.8711 2.2463 -3.2748
Nd -0.0217 0.3050 -3.5123
Nd -3.1061 -1.3073 -1.0637
Nd -0.7654 3.9095 -5.7710
Pt -2.0870 -3.9582 -1.5626
Pt 0.2416 1.2322 -6.2474
Pt -2.8197 -0.4068 -3.7879
I -3.0613 -1.6390 2.4595
I -0.7327 3.5514 -2.2254
I -3.7940 1.9124 0.2341
I 0.0000 0.0000 0.0000
Rh 0.9743 -2.3192 -4.0220

***

# 9
12
Lattice="7.2591 -0.0010 0.0010 -3.6286 6.2871 0.0010 -1.2097 -2.0945 8.1615" Properties=species:S:1:pos:R:3 comment="Nd6Ru2PtI3 | Alexandria via LeMat-Bulk | PBE | optimized geometry" sg="No. 12" n_ef_per_ev_atom=0.430 pbc="T T T"
Pt 0.0000 0.0000 0.0000
Ru 3.6313 2.0942 0.0010
Ru -0.0008 4.1919 0.0010
Nd 3.6719 2.0221 6.6443
Nd 2.5044 0.0006 1.5192
Nd -0.0836 4.1910 6.6443
Nd -1.2511 2.1695 1.5192
Nd 0.0438 0.0758 6.6499
Nd 2.3770 4.1158 1.5135
I 1.2104 2.0958 4.0817
I -2.4156 4.1900 4.0817
I 4.8364 0.0017 4.0817

***

# 10
12
Lattice="-5.9157 -3.8191 2.5031 6.6437 -3.3801 -0.5308 1.4504 4.5501 6.6627" Properties=species:S:1:pos:R:3 comment="Nd6Pt2SI3 | Alexandria via LeMat-Bulk | PBE | optimized geometry" sg="No. 12" n_ef_per_ev_atom=0.917 pbc="T T T"
Nd -0.4370 -1.8861 7.4359
Nd 2.6155 -0.7631 1.1991
Nd 3.9027 -1.7344 6.3876
Nd -1.7243 -0.9147 2.2474
Nd 0.7954 -4.3027 2.6702
Nd 1.3831 1.6536 5.9648
Pt 2.4599 -3.5264 0.4799
Pt -1.7318 -3.6729 1.4924
I -3.1426 -1.4725 5.3397
I 5.3210 -1.1767 3.2953
I 1.0892 -1.3246 4.3175
S 0.0000 0.0000 0.0000

***

# 11
16
Lattice="8.5656 0.0000 0.0000 0.0000 9.3174 0.5356 -4.2828 -4.2852 6.0544" Properties=species:S:1:pos:R:3 comment="Nd8Pt3SI4 | Alexandria via LeMat-Bulk | PBE | optimized geometry" sg="No. 166" n_ef_per_ev_atom=0.889 pbc="T T T"
Nd 0.0000 4.4536 3.1870
Nd 2.1664 2.6961 0.4111
Nd 0.0000 0.6159 3.4648
Nd 4.2828 4.4162 3.1253
Nd 6.3992 2.6961 0.4111
Nd 2.1164 2.3360 6.1789
Nd 4.2828 0.5785 3.4030
Nd -2.1164 2.3360 6.1789
Pt 4.2828 4.6587 0.2678
Pt -2.1414 2.5161 3.2950
Pt 2.1414 2.5161 3.2950
I -2.1414 -2.1426 3.0272
I 0.0000 0.0000 0.0000
I 2.1414 -2.1426 3.0272
I 4.2828 0.0000 0.0000
S 0.0000 4.6587 0.2678

***

# 12
8
Lattice="4.1595 0.0000 0.0000 0.0000 7.5620 -0.2396 0.0000 2.5790 7.1611" Properties=species:S:1:pos:R:3 comment="Nd4PtSe2I | Alexandria via LeMat-Bulk | PBE | optimized geometry" sg="No. 10" n_ef_per_ev_atom=0.614 pbc="T T T"
Pt 0.0000 5.0705 3.4608
Nd 4.1595 2.4207 1.9275
Nd 2.0798 3.8385 5.1151
Nd 0.0001 7.7204 4.9940
Nd 2.0798 6.3025 1.8064
I 2.0798 3.7810 -0.1198
Se 2.0798 1.2895 3.5805
Se 0.0000 2.5790 7.1611

***

Number 1: total magnetic moment 0.00 μB per atom, VASP energy -51.37 eV per formula unit. Number 2: total magnetic moment 0.00 μB per atom, VASP energy -21.03 eV per formula unit. Number 3: total magnetic moment 0.00 μB per atom, VASP energy -27.58 eV per formula unit. Number 4: total magnetic moment 0.00 μB per atom, VASP energy -21.56 eV per formula unit. Number 5: total magnetic moment 0.00 μB per atom, VASP energy -20.69 eV per formula unit. Number 6: total magnetic moment 0.00 μB per atom, VASP energy -65.45 eV per formula unit. Number 7: total magnetic moment 0.00 μB per atom, VASP energy -43.82 eV per formula unit. Number 8: total magnetic moment 0.00 μB per atom, VASP energy -87.04 eV per formula unit. Number 9: total magnetic moment 0.00 μB per atom, VASP energy -67.74 eV per formula unit. Number 10: total magnetic moment 0.00 μB per atom, VASP energy -63.97 eV per formula unit. Number 11: total magnetic moment 0.00 μB per atom, VASP energy -85.35 eV per formula unit. Number 12: total magnetic moment 0.00 μB per atom, VASP energy -44.80 eV per formula unit.